A plane-wave DFT calculation with PBE was carried out for a relaxed SrReNi2 crystal.

Electronic total energy, eV/atom: -5.3387
E_form, eV per atom: 1.084
DOS at the Fermi energy, states/eV/cell: 6.502

Structure (POSCAR):
```
SrReNi2
1.0
4.526 0.000 0.000
2.263 3.920 0.000
2.263 1.307 3.695
Ni Re Sr
2 1 1
direct
0.000 0.000 0.000
0.250 0.250 0.250
0.500 0.500 0.500
0.750 0.750 0.750
```